Entry 1:
A PBEsol-optimized structure of InMo2Ru, computed with meta-GGA SCAN.

Summary:
- space group = No. 25
- energy relative to the elements (meV/atom) = 294
- calculated density (kg/m3) = 10556

a = 2.8032 Å, b = 4.0143 Å, c = 5.7004 Å
α = 90.00°, β = 90.00°, γ = 90.00°
Sites, in units of the cell vectors:
In1 0.0000 0.0000 0.0000
Mo1 0.0000 0.0000 0.5101
Mo2 0.5000 0.5000 0.2817
Ru1 0.5000 0.5000 0.7233


Entry 2:
A PBEsol-optimized structure of CdCoBr2, computed with meta-GGA SCAN.

Summary:
- space group = No. 35
- energy above the lowest structure with this stoichiometry (eV per formula unit) = 0.076
- formation energy without anion corrections (eV/atom) = -0.089
- calculated density (kg/m3) = 6045

a = 3.4449 Å, b = 3.4449 Å, c = 8.3824 Å
α = 90.00°, β = 90.00°, γ = 113.86°
Sites, in units of the cell vectors:
Cd1 0.0000 0.0000 0.0000
Co1 0.5000 0.5000 0.2289
Br1 0.0000 0.0000 0.3942
Br2 0.5000 0.5000 0.7762


Entry 3:
A PBEsol-optimized structure of BaTa2In, computed with meta-GGA SCAN.

Summary:
- space group = No. 8
- energy relative to the elements (meV/atom) = 575
- energy above the lowest structure with this stoichiometry (eV per formula unit) = 0.348
- calculated density (kg/m3) = 9968

a = 4.8536 Å, b = 4.8536 Å, c = 7.3620 Å
α = 94.37°, β = 94.37°, γ = 36.28°
Sites, in units of the cell vectors:
Ba1 0.0000 0.0000 0.0000
Ta1 0.5130 0.5130 0.4689
Ta2 0.7775 0.7775 0.3269
In1 0.2510 0.2510 0.6766


One value per record, in order, for DOS at the Fermi energy: 2.7; 2.0; 4.0 states/eV per cell.